{
  "formula": "CrNi2BO5",
  "functional": "GGA+U",
  "state": "relaxed",
  "space_group": "Pbam (55)",
  "total_energy_ev_per_atom": -6.539,
  "lattice_angstrom": [[9.318, 0.000, 0.000], [0.000, 12.246, 0.000], [0.000, 0.000, 3.017]],
  "species": ["Cr", "Cr", "Cr", "Cr", "Ni", "Ni", "Ni", "Ni", "Ni", "Ni", "Ni", "Ni", "B", "B", "B", "B", "O", "O", "O", "O", "O", "O", "O", "O", "O", "O", "O", "O", "O", "O", "O", "O", "O", "O", "O", "O"],
  "fractional_positions": [[0.242, 0.113, 0.000], [0.258, 0.613, 0.000], [0.742, 0.387, 0.000], [0.758, 0.887, 0.000], [0.000, 0.000, 0.500], [0.000, 0.500, 0.000], [0.001, 0.281, 0.500], [0.499, 0.781, 0.500], [0.500, 0.000, 0.000], [0.500, 0.500, 0.500], [0.501, 0.219, 0.500], [0.999, 0.719, 0.500], [0.229, 0.861, 0.000], [0.271, 0.361, 0.000], [0.729, 0.639, 0.000], [0.771, 0.139, 0.000], [0.109, 0.142, 0.500], [0.117, 0.579, 0.500], [0.123, 0.359, 0.000], [0.152, 0.959, 0.000], [0.154, 0.762, 0.000], [0.346, 0.262, 0.000], [0.348, 0.459, 0.000], [0.377, 0.859, 0.000], [0.383, 0.079, 0.500], [0.391, 0.642, 0.500], [0.609, 0.358, 0.500], [0.617, 0.921, 0.500], [0.623, 0.141, 0.000], [0.652, 0.541, 0.000], [0.654, 0.738, 0.000], [0.846, 0.238, 0.000], [0.848, 0.041, 0.000], [0.877, 0.641, 0.000], [0.883, 0.421, 0.500], [0.891, 0.858, 0.500]]
}